# 1
A plane-wave DFT calculation with GGA-PBE was carried out for crystalline AlZn2Os at its relaxed geometry.

Summary:
Raw total energy, eV per formula unit: -18.09
Energy of formation, eV/atom: -0.14
Total magnetization, μB/f.u.: 0.0

Cell: 3.230 4.016 8.650 Å, 90.00 90.00 90.00°
Space group Immm (No. 71)
Unique sites:
Al (0.000, 0.000, 0.000)
Zn (0.000, 0.500, 0.248)
Os (0.000, 0.000, 0.500)

=====

# 2
A plane-wave DFT calculation with GGA-PBE was carried out for crystalline CaAc2Pt at its relaxed geometry.

Summary:
Raw total energy, eV per formula unit: -18.52
Energy of formation, eV/atom: -0.57
Total magnetization, μB/f.u.: 0.0

Cell: 4.145 13.483 10.119 Å, 90.00 90.00 90.00°
Space group Cmcm (No. 63)
Unique sites:
Ca (0.000, 0.088, 0.250)
Ac (0.000, 0.360, 0.065)
Pt (0.000, 0.242, 0.750)

=====

Q: What is the total magnetization in the second record?
A: 0.0 μB/f.u.